No. 1
! PBE Mg2ZrHIr, relaxed; values from VASP
&SYSTEM
  ibrav = 0, nat = 5, ntyp = 4
/
ATOMIC_SPECIES
Mg 24.30 Mg.upf
H 1.01 H.upf
Zr 91.22 Zr.upf
Ir 192.22 Ir.upf
CELL_PARAMETERS angstrom
4.0752 0.0000 0.0000
0.0000 4.0752 0.0000
0.0000 0.0000 4.4810
ATOMIC_POSITIONS crystal
Mg 0.5000 0.0000 0.0000
H 0.0000 0.0000 0.0000
Mg 0.0000 0.5000 0.0000
Zr 0.0000 0.0000 0.5000
Ir 0.5000 0.5000 0.5000
! - Size of the total moment: 0.0 Bohr magnetons per cell
! - Volume: 14.884 Å³ per atom
! - Space group: P4/mmm (123)
! - Electronic total energy: -5.077 eV per atom

No. 2
! PBE MgTcIr2, relaxed; values from VASP
&SYSTEM
  ibrav = 0, nat = 8, ntyp = 3
/
ATOMIC_SPECIES
Ir 192.22 Ir.upf
Mg 24.30 Mg.upf
Tc 98.00 Tc.upf
CELL_PARAMETERS angstrom
7.2344 0.0000 0.0000
0.0000 7.2344 0.0000
3.6172 3.6172 2.6476
ATOMIC_POSITIONS crystal
Ir 0.3750 0.3339 0.7500
Mg 0.2500 0.7500 0.5000
Ir 0.6661 0.1250 0.2500
Tc 0.0000 0.0000 0.0000
Ir 0.0839 0.6250 0.2500
Mg 0.5000 0.5000 0.0000
Ir 0.8750 0.9161 0.7500
Tc 0.7500 0.2500 0.5000
! - Size of the total moment: 0.0 Bohr magnetons per cell
! - Volume: 17.320 Å³ per atom
! - E_form: 0.43 eV per atom
! - Space group: I-42d (122)
! - Electronic total energy: -6.995 eV per atom

No. 3
! PBE Mg3H4Rh2, relaxed; values from VASP
&SYSTEM
  ibrav = 0, nat = 9, ntyp = 3
/
ATOMIC_SPECIES
Rh 102.91 Rh.upf
Mg 24.30 Mg.upf
H 1.01 H.upf
CELL_PARAMETERS angstrom
3.0366 0.0000 0.0000
-1.5183 4.9246 -0.2603
0.0000 -2.3660 6.9951
ATOMIC_POSITIONS crystal
Rh 0.3648 0.7296 0.6864
Mg 0.0000 0.0000 0.0000
Mg 0.6362 0.2725 0.6849
Mg 0.3638 0.7275 0.3151
H 0.0655 0.1310 0.3732
H 0.2713 0.5426 0.8455
H 0.7287 0.4574 0.1545
Rh 0.6352 0.2704 0.3136
H 0.9345 0.8690 0.6268
! - Size of the total moment: 0.0 Bohr magnetons per cell
! - Volume: 11.415 Å³ per atom
! - Space group: C2/m (12)
! - Electronic total energy: -3.967 eV per atom

No. 4
! PBE LiTmZnGa, relaxed; values from VASP
&SYSTEM
  ibrav = 0, nat = 4, ntyp = 4
/
ATOMIC_SPECIES
Ga 69.72 Ga.upf
Zn 65.41 Zn.upf
Tm 168.93 Tm.upf
Li 6.94 Li.upf
CELL_PARAMETERS angstrom
4.7412 0.0000 0.0000
2.3706 4.1060 0.0000
2.3706 1.3687 3.8712
ATOMIC_POSITIONS crystal
Ga 0.0000 0.0000 0.0000
Zn 0.5000 0.5000 0.5000
Tm 0.7500 0.7500 0.7500
Li 0.2500 0.2500 0.2500
! - Size of the total moment: 0.0 Bohr magnetons per cell
! - Volume: 18.841 Å³ per atom
! - E_form: -0.37 eV per atom
! - Space group: F-43m (216)
! - Electronic total energy: -3.044 eV per atom

No. 5
! PBE Al2SiAg7, relaxed; values from VASP
&SYSTEM
  ibrav = 0, nat = 20, ntyp = 3
/
ATOMIC_SPECIES
Ag 107.87 Ag.upf
Si 28.09 Si.upf
Al 26.98 Al.upf
CELL_PARAMETERS angstrom
-1.2125 -5.8477 3.6353
6.8365 -1.5683 -0.2425
1.0862 3.4908 5.9776
ATOMIC_POSITIONS crystal
Ag 0.8683 0.4557 0.5476
Si 0.4384 0.9458 0.3149
Ag 0.3683 0.5443 0.4524
Ag 0.4600 0.2976 0.1246
Al 0.6889 0.8117 0.5585
Ag 0.7011 0.6297 0.2079
Si 0.9384 0.0542 0.6851
Ag 0.9600 0.7024 0.8754
Ag 0.0446 0.7987 0.3766
Ag 0.1207 0.0417 0.0449
Ag 0.0656 0.4322 0.1827
Ag 0.7972 0.1240 0.2951
Ag 0.2011 0.3703 0.7921
Al 0.1889 0.1883 0.4415
Ag 0.6207 0.9583 0.9551
Al 0.3151 0.6933 0.0691
Ag 0.5656 0.5678 0.8173
Ag 0.2972 0.8760 0.7049
Al 0.8151 0.3067 0.9309
Ag 0.5446 0.2013 0.6234
! - Uncorrected formation energy: 23 meV/atom
! - Size of the total moment: 0.0 Bohr magnetons per cell
! - Volume: 17.190 Å³ per atom
! - Space group: P2_1 (4)
! - Electronic total energy: -3.264 eV per atom

No. 6
! PBE GaPCl2, relaxed; values from VASP
&SYSTEM
  ibrav = 0, nat = 8, ntyp = 3
/
ATOMIC_SPECIES
Cl 35.45 Cl.upf
P 30.97 P.upf
Ga 69.72 Ga.upf
CELL_PARAMETERS angstrom
5.2220 0.0000 0.0000
0.0000 5.2220 0.0000
2.6110 2.6110 8.0911
ATOMIC_POSITIONS crystal
Cl 0.8750 0.8032 0.7500
P 0.5000 0.5000 0.0000
Ga 0.0000 0.0000 0.0000
Ga 0.7500 0.2500 0.5000
Cl 0.5532 0.1250 0.2500
Cl 0.3750 0.4468 0.7500
Cl 0.1968 0.6250 0.2500
P 0.2500 0.7500 0.5000
! - Uncorrected formation energy: 184 meV/atom
! - Size of the total moment: 0.0 Bohr magnetons per cell
! - Volume: 27.580 Å³ per atom
! - Space group: I-42d (122)
! - Electronic total energy: -2.849 eV per atom

No. 7
! PBE TmMg2TlCl8, relaxed; values from VASP
&SYSTEM
  ibrav = 0, nat = 12, ntyp = 4
/
ATOMIC_SPECIES
Cl 35.45 Cl.upf
Tm 168.93 Tm.upf
Mg 24.30 Mg.upf
Tl 204.38 Tl.upf
CELL_PARAMETERS angstrom
-1.2313 -4.4803 4.4903
5.8965 -2.3906 1.1218
2.2561 4.3384 7.4406
ATOMIC_POSITIONS crystal
Cl 0.1999 0.7493 0.2178
Cl 0.3349 0.3316 0.5110
Cl 0.7336 0.7363 0.0451
Cl 0.2664 0.2637 0.9549
Tm 0.0000 0.0000 0.0000
Cl 0.6651 0.6684 0.4890
Mg 0.4515 0.4510 0.7147
Cl 0.8001 0.2507 0.7822
Cl 0.2484 0.7981 0.7830
Tl 0.0000 0.0000 0.5000
Cl 0.7516 0.2019 0.2170
Mg 0.5485 0.5490 0.2853
! - Uncorrected formation energy: -1806 meV/atom
! - Size of the total moment: 0.0 Bohr magnetons per cell
! - Volume: 29.351 Å³ per atom
! - Space group: P-1 (2)
! - Electronic total energy: -3.873 eV per atom